The following is a DFT calculation (GGA-PBEsol) of a relaxed SrLi2Pt crystal.

abc: 4.3366 4.3542 4.8181
angles: 90.00 90.00 95.63
Atoms (fractional coordinates):
Li 0.1810 0.3198 0.0000
Li 0.8190 0.6802 0.0000
Pt 0.0000 0.5000 0.5000
Sr 0.5000 0.0000 0.5000

Calculated values
Density of states at the Fermi level, states/eV per cell: 1.27
Mass density, Mg/m³: 5.44
Crystal system: monoclinic
ΔE to the lowest computed polymorph, eV/atom: 0.1479